{
  "formula": "Cs2RuI",
  "functional": "PBE",
  "state": "relaxed",
  "cell": [[2.1213, -6.6796, 3.2456], [0.4887, 4.7656, 6.0582], [-6.9831, -0.1866, -3.2943]],
  "species": ["Cs", "Cs", "Cs", "Cs", "Ru", "Ru", "I", "I"],
  "fractional_positions": [[0.5207, 0.1250, 0.8957], [0.2293, 0.6250, 0.1043], [0.3750, 0.4793, 0.6043], [0.8750, 0.7707, 0.3957], [0.5000, 0.5000, 0.0000], [0.2500, 0.7500, 0.5000], [0.7500, 0.2500, 0.5000], [0.0000, 0.0000, 0.0000]],
  "formation_energy_uncorrected_ev_per_atom": 0.61
}



{
  "formula": "SrEuZnAu",
  "functional": "PBE",
  "state": "relaxed",
  "cell": [[-0.8655, 3.4886, 4.0085], [0.0650, -1.6991, 5.1085], [4.0466, 1.4164, 3.2568]],
  "species": ["Au", "Zn", "Eu", "Sr"],
  "fractional_positions": [[0.5000, 0.5000, 0.5000], [0.0000, 0.0000, 0.0000], [0.2500, 0.2500, 0.2500], [0.7500, 0.7500, 0.7500]],
  "e_form_ev_per_atom": -0.47
}



{
  "formula": "ZrTi2HRh",
  "functional": "PBE",
  "state": "relaxed",
  "cell": [[-1.4738, 3.7440, 1.4808], [-2.2846, -2.0761, 2.9753], [2.9958, 0.2112, 2.4477]],
  "species": ["Zr", "H", "Ti", "Ti", "Rh"],
  "fractional_positions": [[0.5000, 0.5000, 0.5000], [0.0000, 0.0000, 0.0000], [0.0000, 0.5000, 0.0000], [0.5000, 0.0000, 0.0000], [0.0000, 0.0000, 0.5000]],
  "energy_ev_per_atom": -7.279
}



{
  "formula": "Rb8SeO2",
  "functional": "PBE",
  "state": "relaxed",
  "cell": [[7.4672, 0.0000, 0.0000], [0.0000, 7.4672, 0.0000], [0.0000, 0.0000, 7.8430]],
  "species": ["Rb", "Rb", "Rb", "Rb", "Rb", "Rb", "Rb", "Rb", "O", "O", "Se"],
  "fractional_positions": [[0.7484, 0.7484, 0.2186], [0.7484, 0.7484, 0.7814], [0.2516, 0.2516, 0.7814], [0.2516, 0.2516, 0.2186], [0.7484, 0.2516, 0.2186], [0.2516, 0.7484, 0.2186], [0.2516, 0.7484, 0.7814], [0.7484, 0.2516, 0.7814], [0.0000, 0.5000, 0.0000], [0.5000, 0.0000, 0.0000], [0.5000, 0.5000, 0.5000]],
  "formation_energy_uncorrected_ev_per_atom": -0.66
}



| no. | density (g/cm³) | density of states at the Fermi level (states/eV/cell) |
| --- | --- | --- |
| 1 | 4.70 | 8.09 |
| 2 | 7.55 | 8.67 |
| 3 | 6.78 | 6.26 |
| 4 | 3.02 | 2.06 |